[1]
{
  "formula": "Tl3Cd5F12",
  "functional": "PBE",
  "state": "relaxed",
  "lattice": [[-7.337, 7.337, 7.337], [7.337, -7.337, 7.337], [7.337, 7.337, -7.337]],
  "species": ["Tl", "Tl", "Tl", "Tl", "Tl", "Tl", "Tl", "Tl", "Tl", "Tl", "Tl", "Tl", "Cd", "Cd", "Cd", "Cd", "Cd", "Cd", "Cd", "Cd", "Cd", "Cd", "Cd", "Cd", "Cd", "Cd", "Cd", "Cd", "Cd", "Cd", "Cd", "Cd", "F", "F", "F", "F", "F", "F", "F", "F", "F", "F", "F", "F", "F", "F", "F", "F", "F", "F", "F", "F", "F", "F", "F", "F", "F", "F", "F", "F", "F", "F", "F", "F", "F", "F", "F", "F", "F", "F", "F", "F", "F", "F", "F", "F", "F", "F", "F", "F"],
  "frac_coords": [[0.125, 0.250, 0.375], [0.125, 0.375, 0.750], [0.250, 0.375, 0.125], [0.250, 0.875, 0.625], [0.375, 0.125, 0.250], [0.375, 0.750, 0.125], [0.625, 0.250, 0.875], [0.625, 0.875, 0.750], [0.750, 0.125, 0.375], [0.750, 0.625, 0.875], [0.875, 0.625, 0.250], [0.875, 0.750, 0.625], [0.000, 0.000, 0.000], [0.000, 0.000, 0.500], [0.000, 0.500, 0.000], [0.000, 0.500, 0.500], [0.125, 0.750, 0.875], [0.125, 0.875, 0.250], [0.250, 0.125, 0.875], [0.250, 0.625, 0.375], [0.375, 0.250, 0.625], [0.375, 0.625, 0.750], [0.500, 0.000, 0.000], [0.500, 0.000, 0.500], [0.500, 0.500, 0.000], [0.500, 0.500, 0.500], [0.625, 0.375, 0.250], [0.625, 0.750, 0.375], [0.750, 0.375, 0.625], [0.750, 0.875, 0.125], [0.875, 0.125, 0.750], [0.875, 0.250, 0.125], [0.019, 0.195, 0.111], [0.019, 0.324, 0.908], [0.084, 0.695, 0.676], [0.084, 0.889, 0.408], [0.092, 0.611, 0.416], [0.092, 0.981, 0.676], [0.111, 0.019, 0.195], [0.111, 0.592, 0.916], [0.176, 0.195, 0.584], [0.176, 0.481, 0.592], [0.195, 0.111, 0.019], [0.195, 0.584, 0.176], [0.305, 0.324, 0.916], [0.305, 0.481, 0.389], [0.324, 0.908, 0.019], [0.324, 0.916, 0.305], [0.389, 0.305, 0.481], [0.389, 0.584, 0.908], [0.408, 0.084, 0.889], [0.408, 0.824, 0.519], [0.416, 0.092, 0.611], [0.416, 0.824, 0.805], [0.481, 0.389, 0.305], [0.481, 0.592, 0.176], [0.519, 0.408, 0.824], [0.519, 0.611, 0.695], [0.584, 0.176, 0.195], [0.584, 0.908, 0.389], [0.592, 0.176, 0.481], [0.592, 0.916, 0.111], [0.611, 0.416, 0.092], [0.611, 0.695, 0.519], [0.676, 0.084, 0.695], [0.676, 0.092, 0.981], [0.695, 0.519, 0.611], [0.695, 0.676, 0.084], [0.805, 0.416, 0.824], [0.805, 0.889, 0.981], [0.824, 0.519, 0.408], [0.824, 0.805, 0.416], [0.889, 0.408, 0.084], [0.889, 0.981, 0.805], [0.908, 0.019, 0.324], [0.908, 0.389, 0.584], [0.916, 0.111, 0.592], [0.916, 0.305, 0.324], [0.981, 0.676, 0.092], [0.981, 0.805, 0.889]],
  "total_energy_ev_per_atom": -3.65,
  "dos_at_fermi_per_ev_cell": 26.38,
  "volume_a3_per_cell": 1579.9,
  "formation_energy_uncorrected_ev_per_atom": -1.939
}



[2]
{
  "formula": "TlCd2F8",
  "functional": "PBE",
  "state": "relaxed",
  "lattice": [[6.673, -1.864, 0.000], [6.673, 1.864, 0.000], [-1.495, 0.000, 7.013]],
  "species": ["Tl", "Cd", "Cd", "F", "F", "F", "F", "F", "F", "F", "F"],
  "frac_coords": [[0.000, 0.000, 0.000], [0.232, 0.232, 0.721], [0.768, 0.768, 0.279], [0.069, 0.069, 0.762], [0.224, 0.224, 0.105], [0.316, 0.316, 0.464], [0.414, 0.414, 0.861], [0.586, 0.586, 0.139], [0.684, 0.684, 0.536], [0.776, 0.776, 0.895], [0.931, 0.931, 0.238]],
  "total_energy_ev_per_atom": -3.52,
  "dos_at_fermi_per_ev_cell": 8.25,
  "volume_a3_per_cell": 174.5,
  "formation_energy_uncorrected_ev_per_atom": -1.776
}